Compound: NpS5Cl4
Source: Alexandria
Functional: PBE-GGA
Structure: relaxed

Cell lengths 11.1015, 7.9440, 11.9817 Å; angles 90.00, 90.00, 138.45 degrees
Fractional positions:
S 0.6476 0.5209 0.7632
S 0.5000 0.0000 0.8242
S 0.3524 0.4791 0.7632
S 0.6641 0.2972 0.7120
S 0.1476 0.0209 0.2368
S 0.3359 0.7028 0.7120
S 0.1641 0.7972 0.2880
S 0.0000 0.5000 0.1758
S 0.8359 0.2028 0.2880
S 0.8524 0.9791 0.2368
Cl 0.4002 0.5998 0.1062
Cl 0.4232 0.6311 0.4006
Cl 0.0768 0.8689 0.5994
Cl 0.0998 0.9002 0.8938
Cl 0.5998 0.4002 0.1062
Cl 0.9002 0.0998 0.8938
Cl 0.9232 0.1311 0.5994
Cl 0.5768 0.3689 0.4006
Np 0.0000 0.0000 0.7476
Np 0.5000 0.5000 0.2524

Values from the calculation:
For the uncorrected formation energy, the calculation gives -0.68 eV per atom. The value obtained for the total magnetization is 2.34 μB/f.u. As for the energy: -0.1754 Ha/atom.

Compound: NpS2Cl
Source: Alexandria
Functional: PBE-GGA
Structure: relaxed

Cell lengths 4.2293, 4.2293, 6.6916 Å; angles 71.58, 71.58, 60.00 degrees
Fractional positions:
Np 0.0000 0.0000 0.0000
S 0.2773 0.2773 0.1681
S 0.7227 0.7227 0.8319
Cl 0.5000 0.5000 0.5000

Values from the calculation:
For the uncorrected formation energy, the calculation gives -0.80 eV per atom. The value obtained for the distance to the lowest polymorph of the same formula is 189 meV/atom. The value obtained for the total magnetization is 1.98 μB/f.u. As for the energy: -0.2411 Ha/atom.

Compound: NpS2Cl
Source: Alexandria
Functional: PBE-GGA
Structure: relaxed

Cell lengths 5.2006, 5.2007, 7.5289 Å; angles 89.93, 89.93, 40.79 degrees
Fractional positions:
Np 0.1435 0.1435 0.4323
S 0.5676 0.5676 0.2117
S 0.8445 0.8445 0.4397
Cl 0.5727 0.5727 0.6882

Values from the calculation:
For the uncorrected formation energy, the calculation gives -0.99 eV per atom. The value obtained for the distance to the lowest polymorph of the same formula is 0 meV/atom. The value obtained for the total magnetization is 2.00 μB/f.u. As for the energy: -0.2480 Ha/atom.

Compound: NpS2Cl6
Source: Alexandria
Functional: PBE-GGA
Structure: relaxed

Cell lengths 8.5675, 8.5675, 7.7906 Å; angles 56.64, 56.64, 60.00 degrees
Fractional positions:
S 0.3124 0.3124 0.0629
S 0.4158 0.4158 0.7526
Cl 0.4697 0.8212 0.7865
Cl 0.4949 0.3949 0.2668
Cl 0.8212 0.9226 0.7865
Cl 0.3949 0.8434 0.2668
Cl 0.9226 0.4697 0.7865
Cl 0.8434 0.4949 0.2668
Np 0.6595 0.6595 0.0216

Values from the calculation:
For the uncorrected formation energy, the calculation gives -0.92 eV per atom. The value obtained for the total magnetization is 3.00 μB/f.u. As for the energy: -0.1657 Ha/atom.

Compound: NpS6Cl2
Source: Alexandria
Functional: PBE-GGA
Structure: relaxed

Cell lengths 4.1606, 8.1043, 9.8530 Å; angles 117.68, 97.06, 80.63 degrees
Fractional positions:
Cl 0.5734 0.8318 0.0719
Cl 0.4266 0.1682 0.9281
S 0.9087 0.4976 0.2556
S 0.9571 0.2663 0.2948
S 0.7653 0.3373 0.6244
S 0.0429 0.7337 0.7052
S 0.0913 0.5024 0.7444
S 0.2347 0.6627 0.3756
Np 0.0000 0.0000 0.0000

Values from the calculation:
For the uncorrected formation energy, the calculation gives -0.46 eV per atom. The value obtained for the total magnetization is 4.02 μB/f.u. As for the energy: -0.1861 Ha/atom.

Compound: Np4S6Cl
Source: Alexandria
Functional: PBE-GGA
Structure: relaxed

Cell lengths 7.3263, 7.3263, 7.1989 Å; angles 59.41, 59.41, 90.00 degrees
Fractional positions:
S 0.4841 0.4841 0.3273
S 0.1887 0.1887 0.3273
S 0.0001 0.5000 0.9999
S 0.5160 0.8112 0.6727
S 0.8112 0.5160 0.6727
S 0.5000 0.0000 0.9999
Np 0.1761 0.6240 0.1999
Np 0.3760 0.3760 0.8002
Np 0.6240 0.1761 0.1999
Np 0.8238 0.8238 0.8002
Cl 0.0001 0.0001 0.9997

Values from the calculation:
For the uncorrected formation energy, the calculation gives -1.24 eV per atom. The value obtained for the distance to the lowest polymorph of the same formula is 81 meV/atom. The value obtained for the total magnetization is 0.00 μB/f.u. As for the energy: -0.3075 Ha/atom.

Number 1: DOS at the Fermi energy 15.92 states/eV/cell. Number 2: DOS at the Fermi energy 7.21 states/eV/cell. Number 3: DOS at the Fermi energy 6.88 states/eV/cell. Number 4: DOS at the Fermi energy 6.28 states/eV/cell. Number 5: DOS at the Fermi energy 9.74 states/eV/cell. Number 6: DOS at the Fermi energy 32.94 states/eV/cell.